[1]
PuThRu4, optimized geometry, DFT PBE; energy of formation = -1.3 eV/f.u.; SG = No. 216
1.0
0.0000 3.8006 3.8006
3.8006 0.0000 3.8006
3.8006 3.8006 0.0000
Pu Th Ru
1 1 4
Direct
0.0000 0.0000 0.0000
0.7500 0.7500 0.7500
0.3744 0.3744 0.3744
0.3744 0.3744 0.8767
0.3744 0.8767 0.3744
0.8767 0.3744 0.3744

***

[2]
Pd8PbAu2, optimized geometry, DFT PBE; energy of formation = 0.4 eV/f.u.; energy above the lowest structure with this stoichiometry = 72.5 meV per atom; SG = No. 12
1.0
3.8354 -6.4470 0.0000
3.8354 6.4470 0.0000
-3.3273 0.0000 3.9150
Pd Pb Au
8 1 2
Direct
0.1003 0.3308 0.6270
0.2166 0.7834 0.0000
0.3308 0.1003 0.6270
0.4215 0.4215 0.1832
0.5785 0.5785 0.8168
0.6692 0.8997 0.3730
0.7834 0.2166 0.0000
0.8997 0.6692 0.3730
0.0000 0.0000 0.0000
0.3084 0.6916 0.5000
0.6916 0.3084 0.5000

***

[3]
MnBeIn2, optimized geometry, DFT PBE; energy of formation = 2.4 eV/f.u.; SG = No. 216
1.0
6.6961 0.0000 0.0000
0.0000 6.6961 0.0000
0.0000 0.0000 6.6961
Mn Be In
4 4 8
Direct
0.0000 0.0000 0.0000
0.0000 0.5000 0.5000
0.5000 0.0000 0.5000
0.5000 0.5000 0.0000
0.2500 0.2500 0.2500
0.2500 0.7500 0.7500
0.7500 0.2500 0.7500
0.7500 0.7500 0.2500
0.0000 0.0000 0.5000
0.0000 0.5000 0.0000
0.2500 0.2500 0.7500
0.2500 0.7500 0.2500
0.5000 0.0000 0.0000
0.5000 0.5000 0.5000
0.7500 0.2500 0.2500
0.7500 0.7500 0.7500

***

Number 1: M_tot 3.2 μB/cell. Number 2: M_tot 0.0 μB/cell. Number 3: M_tot 15.3 μB/cell.